A geometry-optimized Pu5ThS6 structure, computed with PBE.

Structure (CIF):
```
data_Pu5ThS6
_symmetry_space_group_name_H-M 'P 1'
_symmetry_Int_Tables_number 1
_symmetry_space_group_name_Hall 'P 1'
_cell_length_a 6.8764
_cell_length_b 6.8764
_cell_length_c 6.8865
_cell_angle_alpha 99.58
_cell_angle_beta 99.58
_cell_angle_gamma 120.04
loop_
_atom_site_label
_atom_site_type_symbol
_atom_site_fract_x
_atom_site_fract_y
_atom_site_fract_z
Pu1 Pu 0.0000 0.0000 0.0000
Pu2 Pu 0.1669 0.8331 0.5000
Pu3 Pu 0.3348 0.6652 0.0000
Pu4 Pu 0.6652 0.3348 0.0000
Pu5 Pu 0.8331 0.1669 0.5000
Th1 Th 0.5000 0.5000 0.5000
S1 S 0.0755 0.4151 0.2456
S2 S 0.2445 0.2445 0.7531
S3 S 0.4151 0.0755 0.2456
S4 S 0.5849 0.9245 0.7544
S5 S 0.7555 0.7555 0.2469
S6 S 0.9245 0.5849 0.7544
```

Fermi-level density of states (states/eV per atom): 3.4726
E_tot (eV/cell): -125.102
Uncorrected formation energy (meV per atom): -1771
M_tot (μB/f.u.): 28.1